DFT (PBE-GGA) results for an optimized crystal structure of La4PmTl2.

Properties
Magnetization in μB/atom: 0.00
Final energy in Ry per atom: -0.3074
SG: R-3m, No. 166
Energy relative to the elements in eV/atom: -0.012

a = 5.676 Å, b = 5.676 Å, c = 9.887 Å
α = 73.32°, β = 73.32°, γ = 60.00°
Fractional positions:
Tl 0.611 0.611 0.167
Tl 0.389 0.389 0.833
La 0.728 0.728 0.817
La 0.871 0.871 0.386
La 0.272 0.272 0.183
La 0.129 0.129 0.614
Pm 0.500 0.500 0.500